A relaxed structure of AsSBrN2. Source: Alexandria via LeMat-Bulk, functional GGA-PBE.

Summary:
The energy above the most stable polymorph in this dataset is 0 meV per atom.

abc: 3.6881 3.6881 6.2308
angles: 90.00 90.00 90.00
Atoms (fractional coordinates):
As  0.0000  0.0000  0.0000
S  0.0000  0.0000  0.5000
Br  0.5000  0.5000  0.5000
N  0.0000  0.5000  0.0000
N  0.5000  0.0000  0.0000

A relaxed structure of Ca5Zn2Sn. Source: Alexandria via LeMat-Bulk, functional GGA-PBE.

Summary:
The formation energy is -366 meV per atom.

abc: 9.4678 9.4678 9.4678
angles: 130.23 130.23 73.05
Atoms (fractional coordinates):
Ca  0.0000  0.0000  0.0000
Ca  0.0327  0.5327  0.8522
Ca  0.1805  0.0327  0.5000
Ca  0.3195  0.8195  0.8522
Ca  0.4673  0.3195  0.5000
Ca  0.5000  0.5000  0.0000
Ca  0.5327  0.6805  0.5000
Ca  0.6805  0.1805  0.1478
Ca  0.8195  0.9673  0.5000
Ca  0.9673  0.4673  0.1478
Zn  0.1125  0.3875  0.5000
Zn  0.3875  0.8875  0.2749
Zn  0.6125  0.1125  0.7251
Zn  0.8875  0.6125  0.5000
Sn  0.2500  0.2500  0.0000
Sn  0.7500  0.7500  0.0000

A relaxed structure of HgAs2Ir. Source: Alexandria via LeMat-Bulk, functional GGA-PBE.

Summary:
The formation energy is 253 meV per atom.

abc: 3.9276 4.1099 5.3328
angles: 90.00 106.37 90.00
Atoms (fractional coordinates):
Hg  0.0000  0.0000  0.0000
As  0.2112  0.5000  0.5318
As  0.6051  0.0000  0.4867
Ir  0.6174  0.5000  0.2211

A relaxed structure of Mg2NiAg. Source: Alexandria via LeMat-Bulk, functional GGA-PBE.

Summary:
The formation energy is -146 meV per atom.

abc: 3.1208 4.5827 4.5836
angles: 90.00 90.00 90.00
Atoms (fractional coordinates):
Mg  0.0000  0.0000  0.0000
Mg  0.0000  0.5000  0.4983
Ni  0.5000  0.5000  0.9984
Ag  0.5000  0.0000  0.5005

A relaxed structure of SmHoEr2. Source: Alexandria via LeMat-Bulk, functional GGA-PBE.

Summary:
The energy above the most stable polymorph in this dataset is 11 meV per atom. The formation energy is 23 meV per atom.

abc: 3.5401 3.5401 10.0160
angles: 90.00 90.00 90.00
Atoms (fractional coordinates):
Sm  0.0000  0.0000  0.0000
Ho  0.0000  0.0000  0.5000
Er  0.5000  0.5000  0.2533
Er  0.5000  0.5000  0.7467

A relaxed structure of Pr2SiBPt6. Source: Alexandria via LeMat-Bulk, functional GGA-PBE.

abc: 6.7234 6.7234 6.7234
angles: 128.83 128.83 75.28
Atoms (fractional coordinates):
Pr  0.0000  0.5000  0.5000
Pr  0.5000  0.0000  0.5000
Si  0.3580  0.3580  0.0000
B  0.8605  0.8605  0.0000
Pt  0.0595  0.0595  0.0000
Pt  0.5143  0.5143  0.5162
Pt  0.5143  0.9981  0.0000
Pt  0.5728  0.5728  0.0000
Pt  0.9981  0.5143  0.0000
Pt  0.9981  0.9981  0.4838

Total DFT energy (no corrections) (eV/atom)
-4.05, -2.44, -4.36, -3.10, -4.58, -6.74